Material: Tm2LuMg
Method: DFT, PBE
State: optimized geometry

Results
The value obtained for the total magnetic moment is 0.00 μB/f.u. As for the crystal system: cubic. The value obtained for the energy is -3.7187 eV/atom. Its polymorph energy (0 for the lowest one) is 6.2 kJ per mole of atoms. As for the energy of formation: 4.4 kJ per mole of atoms.

a = 7.6535 Å, b = 7.6535 Å, c = 7.6535 Å
α = 90.00°, β = 90.00°, γ = 90.00°
Closest atoms and distances in Å follow each position.
Space group Fm-3m (No. 225)
Symmetry-distinct sites (fractional):
Tm: 0.2500 0.2500 0.2500 x8  4 Mg 3.31, 4 Lu 3.31
Lu: 0.0000 0.0000 0.0000 x4  8 Tm 3.31
Mg: 0.0000 0.0000 0.5000 x4  8 Tm 3.31